# 1
A plane-wave DFT calculation with GGA-PBE was carried out for a relaxed structure of LiPrHf2N4.

The structure in POSCAR format:
```
LiPrHf2N4
1.0
-0.543 -2.217 2.375
4.033 -2.108 -3.331
7.712 4.836 6.276
Li Pr Hf N
2 2 4 8
Direct
0.839 0.678 0.750
0.161 0.322 0.250
0.106 0.212 0.750
0.894 0.788 0.250
0.366 0.732 0.557
0.634 0.268 0.057
0.634 0.268 0.443
0.366 0.732 0.943
0.261 0.523 0.109
0.739 0.477 0.609
0.739 0.477 0.891
0.261 0.523 0.391
0.000 0.000 0.500
0.000 0.000 0.000
0.437 0.873 0.750
0.563 0.127 0.250
```

Properties
- Energy relative to the elements, uncorrected: -1511.9 meV per atom

# 2
A plane-wave DFT calculation with GGA-PBE was carried out for a relaxed structure of LiPu4HfN8.

The structure in POSCAR format:
```
LiPu4HfN8
1.0
6.880 0.000 0.000
3.440 5.958 0.000
3.440 1.986 4.880
Li Pu Hf N
1 4 1 8
Direct
0.993 0.993 0.020
0.596 0.596 0.212
0.996 0.503 0.505
0.503 0.996 0.505
0.996 0.996 0.505
0.379 0.379 0.862
0.277 0.757 0.690
0.757 0.277 0.690
0.277 0.277 0.690
0.239 0.239 0.284
0.765 0.205 0.266
0.205 0.765 0.266
0.765 0.765 0.266
0.754 0.754 0.739
```

Properties
- Energy relative to the elements, uncorrected: -987.3 meV per atom

# 3
A plane-wave DFT calculation with GGA-PBE was carried out for a relaxed structure of LiPuHfN3.

The structure in POSCAR format:
```
LiPuHfN3
1.0
-1.970 2.518 -0.326
-2.742 -1.327 6.310
5.024 4.108 1.372
Li Pu Hf N
2 2 2 6
Direct
0.250 0.082 0.588
0.750 0.918 0.412
0.250 0.190 0.222
0.750 0.810 0.778
0.250 0.657 0.180
0.750 0.343 0.820
0.750 0.865 0.122
0.250 0.135 0.878
0.250 0.797 0.513
0.750 0.203 0.487
0.750 0.440 0.166
0.250 0.560 0.834
```

Properties
- Energy relative to the elements, uncorrected: -1097.0 meV per atom

no.,spin magnetization (μB per atom)
1,0.000
2,0.929
3,0.667